Density functional theory data (SCAN) for a PBEsol-optimized structure of Ir2PtBr.

Output
The calculation puts the uncorrected formation energy at 1.01 eV/atom. As for the total moment: 0.000 μB per cell. The raw total energy is -227.810 eV for the cell shown. As for the symmetry: Pmmm.

The structure in POSCAR format:
```
Ir2PtBr
1.0
-0.999 -2.098 -1.451
4.402 -1.409 -0.993
0.015 -2.748 3.964
Ir Br Pt
2 1 1
direct
0.000 0.000 0.000
0.500 0.000 0.500
0.000 0.500 0.500
0.500 0.500 0.000
```

Density functional theory data (SCAN) for a PBEsol-optimized structure of CeCrGe3.

Output
The energy relative to the elements is -0.510 eV/atom. As for the total moment: 0.710 μB per cell. The raw total energy is -245.525 eV for the cell shown. As for the symmetry: P6_3/mmc.

The structure in POSCAR format:
```
CeCrGe3
1.0
5.577 0.000 0.000
0.000 6.022 0.000
0.000 -3.011 5.216
Ce Cr Ge
2 2 6
direct
0.250 0.667 0.333
0.750 0.333 0.667
0.000 0.000 0.000
0.500 0.000 0.000
0.250 0.617 0.808
0.250 0.192 0.383
0.750 0.808 0.617
0.250 0.192 0.808
0.750 0.383 0.192
0.750 0.808 0.192
```